Record 1
This record from Alexandria via LeMat-Bulk describes a geometry-optimized PrZnInPd structure. The functional is PBE.

POSCAR file:
```
PrZnInPd
1.0
0.0000 3.4909 3.4909
3.4909 0.0000 3.4909
3.4909 3.4909 0.0000
Pr Zn In Pd
1 1 1 1
direct
0.0000 0.0000 0.0000
0.2500 0.2500 0.2500
0.5000 0.5000 0.5000
0.7500 0.7500 0.7500
```

Computed properties:
space-group type = F-43m
density of states at the Fermi level = 0.651 states/eV per atom
formation energy from the elements = -2.216 eV/f.u.

---

Record 2
This record from Alexandria via LeMat-Bulk describes a geometry-optimized Y4ZnSe structure. The functional is PBE.

POSCAR file:
```
Y4ZnSe
1.0
0.0000 4.4446 4.4446
4.4446 0.0000 4.4446
4.4446 4.4446 0.0000
Y Zn Se
4 1 1
direct
0.1242 0.1242 0.1242
0.1242 0.1242 0.6273
0.1242 0.6273 0.1242
0.6273 0.1242 0.1242
0.7500 0.7500 0.7500
0.5000 0.5000 0.5000
```

Computed properties:
space-group type = F-43m
density of states at the Fermi level = 1.287 states/eV per atom
uncorrected formation energy = 1.9 eV/f.u.

---

Record 3
This record from Alexandria via LeMat-Bulk describes a geometry-optimized GdYIrOs structure. The functional is PBE.

POSCAR file:
```
GdYIrOs
1.0
0.0000 3.4357 3.4357
3.4357 0.0000 3.4357
3.4357 3.4357 0.0000
Gd Y Ir Os
1 1 1 1
direct
0.0000 0.0000 0.0000
0.5000 0.5000 0.5000
0.7500 0.7500 0.7500
0.2500 0.2500 0.2500
```

Computed properties:
space-group type = F-43m
density of states at the Fermi level = 0.531 states/eV per atom
formation energy from the elements = -1.504 eV/f.u.

---

Number 1: magnetic moment 0.000 Bohr magnetons per cell. Number 2: magnetic moment 0.000 Bohr magnetons per cell. Number 3: magnetic moment 7.042 Bohr magnetons per cell.